1.
Compound: Ho2TmTh3Te6
Source: Alexandria via LeMat-Bulk
Functional: PBE
Structure: optimized geometry

a = 19.9069 Å, b = 4.1904 Å, c = 9.2514 Å
α = 90.00°, β = 111.36°, γ = 90.00°
Last column: nearest neighbours and their distance in Å.
Space group C2/m (No. 12)
Symmetry-distinct sites (fractional):
Ho1 0.1671 0.0000 0.3337 [4 per cell]  6 Te 3.04-3.05
Tm1 0.0000 0.5000 0.0000 [2 per cell]  6 Te 3.02-3.03
Th1 0.0000 0.5000 0.5000 [2 per cell]  6 Te 3.20-3.21
Th2 0.1672 0.0000 0.8333 [4 per cell]  6 Te 3.20-3.21
Te1 0.0032 0.0000 0.2392 [4 per cell]  2 Tm 3.03, 1 Ho 3.05, 3 Th 3.21
Te2 0.1622 0.5000 0.0910 [4 per cell]  1 Tm 3.02, 2 Ho 3.05, 3 Th 3.20-3.21
Te3 0.1699 0.5000 0.5743 [4 per cell]  3 Ho 3.04, 3 Th 3.20

Computed properties:
Crystal system: monoclinic
Density of states at the Fermi level, states/eV/cell: 20.86
Total moment, μB/f.u.: 0.0
Formation energy from raw total energies, eV per atom: -1.114

2.
Compound: GdMgHgGe
Source: Alexandria via LeMat-Bulk
Functional: PBE
Structure: optimized geometry

a = 7.1436 Å, b = 7.1436 Å, c = 7.1436 Å
α = 90.00°, β = 90.00°, γ = 90.00°
Last column: nearest neighbours and their distance in Å.
Space group F-43m (No. 216)
Symmetry-distinct sites (fractional):
Gd1 0.0000 0.0000 0.0000 [4 per cell]  4 Ge 3.09, 4 Hg 3.09
Mg1 0.0000 0.0000 0.5000 [4 per cell]  4 Hg 3.09, 4 Ge 3.09
Hg1 0.2500 0.2500 0.2500 [4 per cell]  4 Gd 3.09, 4 Mg 3.09
Ge1 0.2500 0.2500 0.7500 [4 per cell]  4 Gd 3.09, 4 Mg 3.09

Computed properties:
E_form, eV/atom: -0.418
Crystal system: cubic
Density of states at the Fermi level, states/eV/cell: 11.81
Total moment, μB/f.u.: 6.8

3.
Compound: Ca3CdAg2
Source: Alexandria via LeMat-Bulk
Functional: PBE
Structure: optimized geometry

a = 3.7114 Å, b = 3.7114 Å, c = 11.5405 Å
α = 90.00°, β = 90.00°, γ = 90.00°
Last column: nearest neighbours and their distance in Å.
Space group P4/mmm (No. 123)
Symmetry-distinct sites (fractional):
Ca1 0.0000 0.0000 0.0000 [1 per cell]  8 Ag 3.23
Ca2 0.0000 0.0000 0.3240 [2 per cell]  4 Ag 3.22, 4 Cd 3.32
Cd1 0.5000 0.5000 0.5000 [1 per cell]  8 Ca 3.32, 4 Cd 3.71
Ag1 0.5000 0.5000 0.1626 [2 per cell]  8 Ca 3.22-3.23

Computed properties:
E_form, eV/atom: -0.322
Crystal system: tetragonal
Density of states at the Fermi level, states/eV/cell: 5.29
Energy relative to the lowest polymorph listed for this composition, meV per atom: 0
Total moment, μB/f.u.: 0.0

Which value of total moment does entry 2 give?
6.8 μB/f.u.

Among the records above, which one has the highest total moment?
GdMgHgGe

The highest total moment belongs to which entry?
GdMgHgGe